A geometry-optimized BeCrPt structure, computed with PBE-GGA.

a b c (Å): 6.5615 6.5615 3.0118
angles (deg): 90.00 90.00 146.21
Fractional coordinates of all 6 atoms:
Be: 0.1634 0.8366 0.0000
Be: 0.8366 0.1634 0.0000
Cr: 0.0000 0.0000 0.5000
Cr: 0.5002 0.5004 0.0000
Pt: 0.3304 0.6696 0.5000
Pt: 0.6696 0.3304 0.5000

Calculated values
Symmetry: Cmmm (65)
Relative energy among the computed polymorphs, eV per atom: 0.000
ΔE_f, eV per formula unit: -1.1


A geometry-optimized BeCrPtRh structure, computed with PBE-GGA.

a b c (Å): 4.1811 4.1811 4.1811
angles (deg): 60.00 60.00 60.00
Fractional coordinates of all 4 atoms:
Be: 0.0000 0.0000 0.0000
Cr: 0.5000 0.5000 0.5000
Pt: 0.2500 0.2500 0.2500
Rh: 0.7500 0.7500 0.7500

Calculated values
Symmetry: F-43m (216)
ΔE_f, eV per formula unit: -1.2


A geometry-optimized Be2CrSbPt structure, computed with PBE-GGA.

a b c (Å): 4.2740 4.2740 4.6215
angles (deg): 90.00 90.00 90.00
Fractional coordinates of all 5 atoms:
Be: 0.0000 0.5000 0.0000
Be: 0.5000 0.0000 0.0000
Cr: 0.0000 0.0000 0.0000
Sb: 0.5000 0.5000 0.5000
Pt: 0.0000 0.0000 0.5000

Calculated values
Symmetry: P4/mmm (123)
Formation energy from raw total energies, eV/atom: 0.894


A geometry-optimized Sm2BeCrPt6 structure, computed with PBE-GGA.

a b c (Å): 7.4372 7.4372 7.4372
angles (deg): 45.05 45.05 45.05
Fractional coordinates of all 10 atoms:
Sm: 0.2102 0.2102 0.2102
Sm: 0.7898 0.7898 0.7898
Be: 0.0000 0.0000 0.0000
Cr: 0.5000 0.5000 0.5000
Pt: 0.2401 0.2401 0.7239
Pt: 0.2401 0.7239 0.2401
Pt: 0.2761 0.7599 0.7599
Pt: 0.7239 0.2401 0.2401
Pt: 0.7599 0.2761 0.7599
Pt: 0.7599 0.7599 0.2761

Calculated values
Symmetry: R-3m (166)
ΔE_f, eV per formula unit: -6.9